Record 1
First-principles (GGA-PBE) data for crystalline EuTlBr2 at its relaxed geometry, as listed in the Alexandria database.

```
EuTlBr2
1.0
2.123 1.226 10.503
-2.123 1.226 10.503
0.000 -2.452 10.503
Eu Tl Br
1 1 2
direct
0.000 0.000 0.000 Eu
0.500 0.500 0.500 Tl
0.389 0.389 0.389 Br
0.611 0.611 0.611 Br
```

Calculated values
Spin magnetization   1.782 μB per atom
Total DFT energy (no corrections)   -5.309 eV per atom
Calculated volume   41.01 Å³ per atom
Formation energy (no corrections)   -1.31 eV/atom

=====

Record 2
First-principles (GGA-PBE) data for crystalline Eu2TmBr at its relaxed geometry, as listed in the Alexandria database.

```
Eu2TmBr
1.0
1.915 1.105 10.630
-1.915 1.105 10.630
0.000 -2.211 10.630
Eu Tm Br
2 1 1
direct
0.240 0.240 0.240 Eu
0.760 0.760 0.760 Eu
0.000 0.000 0.000 Tm
0.500 0.500 0.500 Br
```

Calculated values
Spin magnetization   3.848 μB per atom
Polymorph energy (0 for the lowest one)   0.0000 eV/atom
Total DFT energy (no corrections)   -7.302 eV per atom
Calculated volume   33.75 Å³ per atom
Formation energy (no corrections)   -0.63 eV/atom

=====

Record 3
First-principles (GGA-PBE) data for crystalline Eu2TmBr at its relaxed geometry, as listed in the Alexandria database.

```
Eu2TmBr
1.0
3.674 0.000 0.000
0.000 3.674 0.000
0.000 0.000 9.949
Eu Tm Br
2 1 1
direct
0.000 0.000 0.226 Eu
0.000 0.000 0.774 Eu
0.500 0.500 0.500 Tm
0.500 0.500 0.000 Br
```

Calculated values
Spin magnetization   3.759 μB per atom
Polymorph energy (0 for the lowest one)   0.0584 eV/atom
Total DFT energy (no corrections)   -7.244 eV per atom
Calculated volume   33.57 Å³ per atom
Formation energy (no corrections)   -0.57 eV/atom

=====

Record 4
First-principles (GGA-PBE) data for crystalline EuY2Br at its relaxed geometry, as listed in the Alexandria database.

```
EuY2Br
1.0
1.791 1.034 11.561
-1.791 1.034 11.561
0.000 -2.068 11.561
Eu Y Br
1 2 1
direct
0.000 0.000 0.000 Eu
0.099 0.099 0.099 Y
0.901 0.901 0.901 Y
0.500 0.500 0.500 Br
```

Calculated values
Spin magnetization   2.074 μB per atom
Total DFT energy (no corrections)   -6.487 eV per atom
Calculated volume   32.13 Å³ per atom
Formation energy (no corrections)   -0.27 eV/atom

=====

Record 5
First-principles (GGA-PBE) data for crystalline EuYBr2 at its relaxed geometry, as listed in the Alexandria database.

```
EuYBr2
1.0
1.946 1.123 10.011
-1.946 1.123 10.011
0.000 -2.247 10.011
Eu Y Br
1 1 2
direct
0.000 0.000 0.000 Eu
0.500 0.500 0.500 Y
0.405 0.405 0.405 Br
0.595 0.595 0.595 Br
```

Calculated values
Spin magnetization   1.978 μB per atom
Total DFT energy (no corrections)   -6.162 eV per atom
Calculated volume   32.82 Å³ per atom
Formation energy (no corrections)   -1.14 eV/atom

=====

Record 6
First-principles (GGA-PBE) data for crystalline Eu2ZnBr at its relaxed geometry, as listed in the Alexandria database.

```
Eu2ZnBr
1.0
3.728 0.000 0.000
0.000 3.728 0.000
0.000 0.000 8.267
Eu Zn Br
2 1 1
direct
0.000 0.000 0.228 Eu
0.000 0.000 0.772 Eu
0.500 0.500 0.000 Zn
0.500 0.500 0.500 Br
```

Calculated values
Spin magnetization   3.708 μB per atom
Polymorph energy (0 for the lowest one)   0.0318 eV/atom
Total DFT energy (no corrections)   -6.642 eV per atom
Calculated volume   28.72 Å³ per atom
Formation energy (no corrections)   -0.77 eV/atom

=====

Record 7
First-principles (GGA-PBE) data for crystalline Eu2ZnBr at its relaxed geometry, as listed in the Alexandria database.

```
Eu2ZnBr
1.0
2.119 1.223 8.073
-2.119 1.223 8.073
0.000 -2.446 8.073
Eu Zn Br
2 1 1
direct
0.245 0.245 0.245 Eu
0.755 0.755 0.755 Eu
0.500 0.500 0.500 Zn
0.000 0.000 0.000 Br
```

Calculated values
Spin magnetization   3.783 μB per atom
Polymorph energy (0 for the lowest one)   0.0000 eV/atom
Total DFT energy (no corrections)   -6.674 eV per atom
Calculated volume   31.38 Å³ per atom
Formation energy (no corrections)   -0.80 eV/atom

=====

Record 8
First-principles (GGA-PBE) data for crystalline EuZrBr2 at its relaxed geometry, as listed in the Alexandria database.

```
EuZrBr2
1.0
1.778 1.027 10.181
-1.778 1.027 10.181
0.000 -2.053 10.181
Eu Zr Br
1 1 2
direct
0.000 0.000 0.000 Eu
0.500 0.500 0.500 Zr
0.103 0.103 0.103 Br
0.897 0.897 0.897 Br
```

Calculated values
Spin magnetization   2.024 μB per atom
Total DFT energy (no corrections)   -6.298 eV per atom
Calculated volume   27.88 Å³ per atom
Formation energy (no corrections)   -0.76 eV/atom